# BaDyVN3 | the Alexandria database | PBE-GGA | optimized geometry
data_BaDyVN3
_chemical_formula_sum 'Ba4 Dy4 V4 N12'
_cell_length_a 13.269
_cell_length_b 3.852
_cell_length_c 7.692
_cell_angle_alpha 90.00
_cell_angle_beta 105.53
_cell_angle_gamma 90.00
_symmetry_space_group_name_H-M 'C 1 2/m 1'
_symmetry_Int_Tables_number 12
loop_
_symmetry_equiv_pos_as_xyz
'x,y,z'
'-x,-y,-z'
'-x,y,-z'
'x,-y,z'
'x+1/2,y+1/2,z'
'-x+1/2,-y+1/2,-z'
'-x+1/2,y+1/2,-z'
'x+1/2,-y+1/2,z'
loop_
_atom_site_label
_atom_site_fract_x
_atom_site_fract_y
_atom_site_fract_z
Ba1 0.143 0.000 0.076
Dy1 0.156 0.000 0.573
V1 0.001 0.500 0.315
N1 0.004 0.000 0.324
N2 0.144 0.500 0.790
N3 0.157 0.500 0.355
# Uncorrected formation energy   -962 meV per atom
# Final energy   -185.572 eV per cell
# Total magnetic moment   0.00 μB per atom